LiMgTe2: optimized geometry, GGA-PBE.

Unit cell a=4.3267 b=6.1966 c=3.8925 alpha=90.00 beta=90.00 gamma=90.00
Closest atoms and distances in Å follow each position.
Element x y z (fractional)
Te: 0.0000 0.0000 0.0000  4 Li 2.91
Te: 0.5000 0.5000 0.0000  4 Mg 2.91
Mg: 0.0000 0.5000 0.5000  4 Te 2.91
Li: 0.5000 0.0000 0.5000  4 Te 2.91

Output
ρ: 4.56 g cm⁻³
Uncorrected formation energy: -1.89 eV per formula unit
SG: Pmmm, No. 47